Entry 1:
Here is ZrHgCl2 at its PBEsol-relaxed geometry from the Alexandria database. Energies are from SCAN.

Cell lengths 3.2561, 3.2561, 29.6575 Å; angles 90.00, 90.00, 120.00 degrees
Closest atoms and distances in Å follow each position.
Element x y z (fractional)
Zr1 0.0000 0.0000 0.0000  6 Cl 2.60
Zr2 0.3333 0.6667 0.6667  6 Cl 2.60
Zr3 0.6667 0.3333 0.3333  6 Cl 2.60
Hg1 0.0000 0.0000 0.5000  6 Hg 3.26
Hg2 0.3333 0.6667 0.1667  6 Hg 3.26
Hg3 0.6667 0.3333 0.8333  6 Hg 3.26
Cl1 0.0000 0.0000 0.2730  3 Zr 2.60
Cl2 0.0000 0.0000 0.7270  3 Zr 2.60
Cl3 0.3333 0.6667 0.3937  3 Zr 2.60
Cl4 0.3333 0.6667 0.9396  3 Zr 2.60
Cl5 0.6667 0.3333 0.0604  3 Zr 2.60
Cl6 0.6667 0.3333 0.6063  3 Zr 2.60

Results
**Formation energy without anion corrections**: -1.28 eV/atom
**Energy above the lowest structure with this stoichiometry**: 0.00 eV/f.u.
**Uncorrected energy**: -29.98 eV/atom
**Space group**: R-3m (166)

---

Entry 2:
Here is HoCl3 at its PBEsol-relaxed geometry from the Alexandria database. Energies are from SCAN.

Cell lengths 9.4793, 9.4793, 3.5216 Å; angles 90.00, 90.00, 120.00 degrees
Closest atoms and distances in Å follow each position.
Element x y z (fractional)
Ho1 0.3333 0.6667 0.2500  6 Cl 2.62
Ho2 0.6667 0.3333 0.7500  6 Cl 2.62
Cl1 0.2151 0.4301 0.7500  2 Ho 2.62
Cl2 0.2151 0.7849 0.7500  2 Ho 2.62
Cl3 0.4301 0.2151 0.2500  2 Ho 2.62
Cl4 0.5699 0.7849 0.7500  2 Ho 2.62
Cl5 0.7849 0.2151 0.2500  2 Ho 2.62
Cl6 0.7849 0.5699 0.2500  2 Ho 2.62

Results
**Formation energy without anion corrections**: -2.42 eV/atom
**Uncorrected energy**: -20.65 eV/atom
**Space group**: P6_3/mmc (194)

---

Entry 3:
Here is KHo2Cl7 at its PBEsol-relaxed geometry from the Alexandria database. Energies are from SCAN.

Cell lengths 6.8017, 12.3251, 12.9037 Å; angles 90.00, 91.42, 90.00 degrees
Closest atoms and distances in Å follow each position.
Element x y z (fractional)
K1 0.1991 0.2110 0.4697  8 Cl 3.20-3.56
K2 0.1991 0.2890 0.9697  8 Cl 3.20-3.56
K3 0.8009 0.7110 0.0303  8 Cl 3.20-3.56
K4 0.8009 0.7890 0.5303  8 Cl 3.20-3.56
Ho1 0.2198 0.5357 0.2604  7 Cl 2.64-2.72
Ho2 0.2198 0.9643 0.7604  7 Cl 2.64-2.72
Ho3 0.2803 0.6611 0.7551  7 Cl 2.65-2.69
Ho4 0.2803 0.8389 0.2551  7 Cl 2.65-2.69
Ho5 0.7197 0.1611 0.7449  7 Cl 2.65-2.69
Ho6 0.7197 0.3389 0.2449  7 Cl 2.65-2.69
Ho7 0.7802 0.0357 0.2396  7 Cl 2.64-2.72
Ho8 0.7802 0.4643 0.7396  7 Cl 2.64-2.72
Cl1 0.0048 0.2041 0.1842  2 Ho 2.68-2.69
Cl2 0.0048 0.2959 0.6842  2 Ho 2.68-2.69
Cl3 0.0307 0.5690 0.6202  2 Ho 2.66
Cl4 0.0307 0.9310 0.1202  2 Ho 2.66
Cl5 0.0658 0.5283 0.8718  2 Ho 2.67-2.68
Cl6 0.0658 0.9717 0.3718  2 Ho 2.67-2.68
Cl7 0.2557 0.6853 0.1070  2 Ho 2.69-2.72
Cl8 0.2557 0.8147 0.6070  2 Ho 2.69-2.72
Cl9 0.4506 0.0599 0.6250  2 Ho 2.65-2.68
Cl10 0.4506 0.0950 0.8756  2 Ho 2.65-2.67
Cl11 0.4506 0.4050 0.3756  2 Ho 2.65-2.67
Cl12 0.4506 0.4401 0.1250  2 Ho 2.65-2.68
Cl13 0.4818 0.6742 0.3368  2 Ho 2.64-2.65
Cl14 0.4818 0.8258 0.8368  2 Ho 2.64-2.65
Cl15 0.5182 0.1742 0.1632  2 Ho 2.64-2.65
Cl16 0.5182 0.3258 0.6632  2 Ho 2.64-2.65
Cl17 0.5494 0.5599 0.8750  2 Ho 2.65-2.68
Cl18 0.5494 0.5950 0.6244  2 Ho 2.65-2.67
Cl19 0.5494 0.9050 0.1244  2 Ho 2.65-2.67
Cl20 0.5494 0.9401 0.3750  2 Ho 2.65-2.68
Cl21 0.7443 0.1853 0.3930  2 Ho 2.69-2.72
Cl22 0.7443 0.3147 0.8930  2 Ho 2.69-2.72
Cl23 0.9342 0.0283 0.6282  2 Ho 2.67-2.68
Cl24 0.9342 0.4717 0.1282  2 Ho 2.67-2.68
Cl25 0.9693 0.0690 0.8798  2 Ho 2.66
Cl26 0.9693 0.4310 0.3798  2 Ho 2.66
Cl27 0.9952 0.7041 0.3158  2 Ho 2.68-2.69
Cl28 0.9952 0.7959 0.8158  2 Ho 2.68-2.69

Results
**Formation energy without anion corrections**: -2.49 eV/atom
**Uncorrected energy**: -18.70 eV/atom
**Space group**: P2_1/c (14)

---

Entry 4:
Here is K2HoCl5 at its PBEsol-relaxed geometry from the Alexandria database. Energies are from SCAN.

Cell lengths 12.5408, 8.4206, 7.8592 Å; angles 90.00, 90.00, 90.00 degrees
Closest atoms and distances in Å follow each position.
Element x y z (fractional)
K1 0.1714 0.0053 0.0597  8 Cl 3.10-3.37
K2 0.1714 0.4947 0.0597  8 Cl 3.10-3.37
K3 0.3286 0.5053 0.5597  8 Cl 3.10-3.37
K4 0.3286 0.9947 0.5597  8 Cl 3.10-3.37
K5 0.6714 0.0053 0.4403  8 Cl 3.10-3.37
K6 0.6714 0.4947 0.4403  8 Cl 3.10-3.37
K7 0.8286 0.5053 0.9403  8 Cl 3.10-3.37
K8 0.8286 0.9947 0.9403  8 Cl 3.10-3.37
Ho1 0.0051 0.2500 0.5747  7 Cl 2.63-2.73
Ho2 0.4949 0.7500 0.0747  7 Cl 2.63-2.73
Ho3 0.5051 0.2500 0.9253  7 Cl 2.63-2.73
Ho4 0.9949 0.7500 0.4253  7 Cl 2.63-2.73
Cl1 0.0108 0.2500 0.9138  1 Ho 2.67
Cl2 0.0712 0.5444 0.6649  2 Ho 2.71-2.73
Cl3 0.0712 0.9556 0.6649  2 Ho 2.71-2.73
Cl4 0.1783 0.2500 0.3849  1 Ho 2.63
Cl5 0.1992 0.7500 0.3464  1 Ho 2.64
Cl6 0.3008 0.2500 0.8464  1 Ho 2.64
Cl7 0.3217 0.7500 0.8849  1 Ho 2.63
Cl8 0.4288 0.0444 0.1649  2 Ho 2.71-2.73
Cl9 0.4288 0.4556 0.1649  2 Ho 2.71-2.73
Cl10 0.4892 0.7500 0.4138  1 Ho 2.67
Cl11 0.5108 0.2500 0.5862  1 Ho 2.67
Cl12 0.5712 0.5444 0.8351  2 Ho 2.71-2.73
Cl13 0.5712 0.9556 0.8351  2 Ho 2.71-2.73
Cl14 0.6783 0.2500 0.1151  1 Ho 2.63
Cl15 0.6992 0.7500 0.1536  1 Ho 2.64
Cl16 0.8008 0.2500 0.6536  1 Ho 2.64
Cl17 0.8217 0.7500 0.6151  1 Ho 2.63
Cl18 0.9288 0.0444 0.3351  2 Ho 2.71-2.73
Cl19 0.9288 0.4556 0.3351  2 Ho 2.71-2.73
Cl20 0.9892 0.7500 0.0862  1 Ho 2.67

Results
**Formation energy without anion corrections**: -2.42 eV/atom
**Uncorrected energy**: -15.61 eV/atom
**Space group**: Pnma (62)

---

Entry 5:
Here is HoClO at its PBEsol-relaxed geometry from the Alexandria database. Energies are from SCAN.

Cell lengths 3.8319, 3.8319, 6.5522 Å; angles 90.00, 90.00, 90.00 degrees
Closest atoms and distances in Å follow each position.
Element x y z (fractional)
Ho1 0.2500 0.2500 0.1692  4 O 2.21
Ho2 0.7500 0.7500 0.8308  4 O 2.21
Cl1 0.2500 0.2500 0.6271  5 Ho 3.00-3.02, 4 O 3.10, 4 Cl 3.18
Cl2 0.7500 0.7500 0.3729  5 Ho 3.00-3.02, 4 O 3.10, 4 Cl 3.18
O1 0.2500 0.7500 0.0000  4 Ho 2.21
O2 0.7500 0.2500 0.0000  4 Ho 2.21

Results
**Formation energy without anion corrections**: -3.43 eV/atom
**Uncorrected energy**: -24.49 eV/atom
**Space group**: P4/nmm (129)

---

Entry 6:
Here is HoSeClO3 at its PBEsol-relaxed geometry from the Alexandria database. Energies are from SCAN.

Cell lengths 7.1079, 6.8910, 8.7394 Å; angles 90.00, 90.00, 90.00 degrees
Closest atoms and distances in Å follow each position.
Element x y z (fractional)
Ho1 0.1019 0.2500 0.0399  5 O 2.18-2.33
Ho2 0.3981 0.7500 0.5399  5 O 2.18-2.33
Ho3 0.6019 0.2500 0.4601  5 O 2.18-2.33
Ho4 0.8981 0.7500 0.9601  5 O 2.18-2.33
Se1 0.2033 0.2500 0.6326  3 O 1.69-1.74
Se2 0.2967 0.7500 0.1326  3 O 1.69-1.74
Se3 0.7033 0.2500 0.8674  3 O 1.69-1.74
Se4 0.7967 0.7500 0.3674  3 O 1.69-1.74
Cl1 0.0567 0.7500 0.6801  2 Ho 2.69-2.72
Cl2 0.4433 0.2500 0.1801  2 Ho 2.69-2.72
Cl3 0.5567 0.7500 0.8199  2 Ho 2.69-2.72
Cl4 0.9433 0.2500 0.3199  2 Ho 2.69-2.72
O1 0.1436 0.5714 0.0659  1 Se 1.74
O2 0.1436 0.9286 0.0659  1 Se 1.74
O3 0.2505 0.2500 0.8222  1 Se 1.69
O4 0.2495 0.7500 0.3222  1 Se 1.69
O5 0.3564 0.0714 0.5659  1 Se 1.74
O6 0.3564 0.4286 0.5659  1 Se 1.74
O7 0.6436 0.5714 0.4341  1 Se 1.74
O8 0.6436 0.9286 0.4341  1 Se 1.74
O9 0.7505 0.2500 0.6778  1 Se 1.69
O10 0.7495 0.7500 0.1778  1 Se 1.69
O11 0.8564 0.0714 0.9341  1 Se 1.74
O12 0.8564 0.4286 0.9341  1 Se 1.74

Results
**Formation energy without anion corrections**: -2.25 eV/atom
**Uncorrected energy**: -18.21 eV/atom
**Space group**: Pnma (62)

---

Entry 7:
Here is HoTe2ClO5 at its PBEsol-relaxed geometry from the Alexandria database. Energies are from SCAN.

Cell lengths 7.5197, 7.8392, 10.3153 Å; angles 101.22, 99.48, 92.00 degrees
Closest atoms and distances in Å follow each position.
Element x y z (fractional)
Ho1 0.2389 0.4876 0.4525  6 O 2.24-2.31
Ho2 0.2545 0.0054 0.5178  8 O 2.28-2.51
Ho3 0.7455 0.9946 0.4822  8 O 2.28-2.51
Ho4 0.7611 0.5124 0.5475  6 O 2.24-2.31
Te1 0.0021 0.9244 0.7637  3 O 1.90-2.00
Te2 0.1694 0.3765 0.7599  3 O 1.88-1.98
Te3 0.3767 0.7844 0.2361  3 O 1.90-1.99
Te4 0.4527 0.7619 0.7598  3 O 1.88-1.98
Te5 0.5473 0.2381 0.2402  3 O 1.88-1.98
Te6 0.6233 0.2156 0.7639  3 O 1.90-1.99
Te7 0.8306 0.6235 0.2401  3 O 1.88-1.98
Te8 0.9979 0.0756 0.2363  3 O 1.90-2.00
Cl1 0.1686 0.4157 0.1631  1 Ho 2.88, 4 O 3.08-3.20, 3 Te 3.13-3.19
Cl2 0.3448 0.1123 0.9152  4 Te 2.96-3.11, 3 O 3.19-3.29
Cl3 0.6552 0.8877 0.0848  4 Te 2.96-3.11, 3 O 3.19-3.29
Cl4 0.8314 0.5843 0.8369  1 Ho 2.88, 4 O 3.08-3.20, 3 Te 3.13-3.19
O1 0.0369 0.0832 0.6441  1 Te 1.96
O2 0.0584 0.4556 0.6077  1 Te 1.88
O3 0.1644 0.2010 0.3866  1 Te 1.90
O4 0.1693 0.9097 0.1629  2 Te 1.99-2.00
O5 0.2250 0.8056 0.6563  1 Te 1.94
O6 0.2838 0.7402 0.3881  1 Te 1.90
O7 0.3290 0.5906 0.8394  2 Te 1.98
O8 0.3480 0.2782 0.6565  1 Te 1.94
O9 0.4690 0.0066 0.3555  1 Te 1.96
O10 0.4923 0.6011 0.6083  1 Te 1.88
O11 0.5077 0.3989 0.3917  1 Te 1.88
O12 0.5310 0.9934 0.6445  1 Te 1.96
O13 0.6520 0.7218 0.3435  1 Te 1.94
O14 0.6710 0.4094 0.1606  2 Te 1.98
O15 0.7162 0.2598 0.6119  1 Te 1.90
O16 0.7750 0.1944 0.3437  1 Te 1.94
O17 0.8307 0.0903 0.8371  2 Te 1.99-2.00
O18 0.8356 0.7990 0.6134  1 Te 1.90
O19 0.9416 0.5444 0.3923  1 Te 1.88
O20 0.9631 0.9168 0.3559  1 Te 1.96

Results
**Formation energy without anion corrections**: -1.96 eV/atom
**Uncorrected energy**: -20.03 eV/atom
**Space group**: P-1 (2)

---

Entry 8:
Here is HoTiClO3 at its PBEsol-relaxed geometry from the Alexandria database. Energies are from SCAN.

Cell lengths 5.2407, 5.2407, 9.6475 Å; angles 105.42, 105.42, 43.24 degrees
Closest atoms and distances in Å follow each position.
Element x y z (fractional)
Ho1 0.2225 0.2225 0.2029  3 O 2.14-2.16
Ho2 0.7775 0.7775 0.7971  3 O 2.14-2.16
Ti1 0.3813 0.3813 0.5712  5 O 1.84-2.05
Ti2 0.6187 0.6187 0.4288  5 O 1.84-2.05
Cl1 0.1134 0.1134 0.9042  3 Ho 2.77-2.88, 1 O 3.07
Cl2 0.8866 0.8866 0.0958  3 Ho 2.77-2.88, 1 O 3.07
O1 0.1688 0.1688 0.4333  3 Ti 1.99-2.12
O2 0.3512 0.3512 0.7534  1 Ti 1.86
O3 0.4217 0.4217 0.3738  2 Ti 1.84-2.05
O4 0.5783 0.5783 0.6262  2 Ti 1.84-2.05
O5 0.6488 0.6488 0.2466  1 Ti 1.86
O6 0.8312 0.8312 0.5667  3 Ti 1.99-2.12

Results
**Formation energy without anion corrections**: -3.41 eV/atom
**Uncorrected energy**: -18.69 eV/atom
**Space group**: C2/m (12)

---

Entry 9:
Here is RbHo2Cl7 at its PBEsol-relaxed geometry from the Alexandria database. Energies are from SCAN.

Cell lengths 13.0668, 6.8279, 12.4107 Å; angles 90.00, 90.00, 90.00 degrees
Closest atoms and distances in Å follow each position.
Element x y z (fractional)
Rb1 0.0408 0.2500 0.1956  10 Cl 3.42-3.59
Rb2 0.4592 0.7500 0.6956  10 Cl 3.42-3.59
Rb3 0.5408 0.2500 0.3044  10 Cl 3.42-3.59
Rb4 0.9592 0.7500 0.8044  10 Cl 3.42-3.59
Ho1 0.2383 0.2500 0.5400  7 Cl 2.66-2.73
Ho2 0.2474 0.2500 0.8429  7 Cl 2.65-2.69
Ho3 0.2526 0.7500 0.3429  7 Cl 2.65-2.69
Ho4 0.2617 0.7500 0.0400  7 Cl 2.66-2.73
Ho5 0.7383 0.2500 0.9600  7 Cl 2.66-2.73
Ho6 0.7474 0.2500 0.6571  7 Cl 2.65-2.69
Ho7 0.7526 0.7500 0.1571  7 Cl 2.65-2.69
Ho8 0.7617 0.7500 0.4600  7 Cl 2.66-2.73
Cl1 0.1080 0.7500 0.1889  2 Ho 2.69-2.73
Cl2 0.1223 0.0102 0.4222  2 Ho 2.65-2.67
Cl3 0.1223 0.4898 0.4222  2 Ho 2.65-2.67
Cl4 0.1300 0.0100 0.9606  2 Ho 2.66-2.68
Cl5 0.1300 0.4900 0.9606  2 Ho 2.66-2.68
Cl6 0.1748 0.0059 0.6929  2 Ho 2.66-2.67
Cl7 0.1748 0.4941 0.6929  2 Ho 2.66-2.67
Cl8 0.3252 0.5059 0.1929  2 Ho 2.66-2.67
Cl9 0.3252 0.9941 0.1929  2 Ho 2.66-2.67
Cl10 0.3700 0.5100 0.4606  2 Ho 2.66-2.68
Cl11 0.3700 0.9900 0.4606  2 Ho 2.66-2.68
Cl12 0.3777 0.5102 0.9222  2 Ho 2.65-2.67
Cl13 0.3777 0.9898 0.9222  2 Ho 2.65-2.67
Cl14 0.3920 0.2500 0.6889  2 Ho 2.69-2.73
Cl15 0.6080 0.7500 0.3111  2 Ho 2.69-2.73
Cl16 0.6223 0.0102 0.0778  2 Ho 2.65-2.67
Cl17 0.6223 0.4898 0.0778  2 Ho 2.65-2.67
Cl18 0.6300 0.0100 0.5394  2 Ho 2.66-2.68
Cl19 0.6300 0.4900 0.5394  2 Ho 2.66-2.68
Cl20 0.6748 0.0059 0.8071  2 Ho 2.66-2.67
Cl21 0.6748 0.4941 0.8071  2 Ho 2.66-2.67
Cl22 0.8252 0.5059 0.3071  2 Ho 2.66-2.67
Cl23 0.8252 0.9941 0.3071  2 Ho 2.66-2.67
Cl24 0.8700 0.5100 0.0394  2 Ho 2.66-2.68
Cl25 0.8700 0.9900 0.0394  2 Ho 2.66-2.68
Cl26 0.8777 0.5102 0.5778  2 Ho 2.65-2.67
Cl27 0.8777 0.9898 0.5778  2 Ho 2.65-2.67
Cl28 0.8920 0.2500 0.8111  2 Ho 2.69-2.73

Results
**Formation energy without anion corrections**: -2.50 eV/atom
**Uncorrected energy**: -19.96 eV/atom
**Space group**: Pnma (62)